VASP calculation (PBE-GGA) on crystalline Pm7PrEr4 at its relaxed geometry.

Values from the calculation:
For the calculated total energy, the calculation gives -4.6870 eV/atom. The formation energy from the elements is 0.00 eV per atom. The spin magnetization comes out at 0.0 μB/f.u. As for the space group: P-1. Its energy above the lowest structure with this stoichiometry is 0.000 eV/f.u.

CIF file:
```
data_Pm7PrEr4
_symmetry_space_group_name_H-M 'P 1'
_symmetry_Int_Tables_number 1
_cell_length_a 6.305
_cell_length_b 7.279
_cell_length_c 8.965
_cell_angle_alpha 90.01
_cell_angle_beta 103.64
_cell_angle_gamma 90.01
loop_
_symmetry_equiv_pos_as_xyz
'x,y,z'
loop_
_atom_site_label
_atom_site_fract_x
_atom_site_fract_y
_atom_site_fract_z
Pm1 0.000 0.000 0.000
Pm2 0.223 0.500 0.665
Pm3 0.281 0.248 0.337
Pm4 0.500 0.246 0.998
Pm5 0.500 0.754 0.002
Pm6 0.719 0.752 0.663
Pm7 0.777 0.500 0.335
Pr1 0.000 0.500 0.000
Er1 0.219 0.000 0.664
Er2 0.278 0.754 0.335
Er3 0.722 0.246 0.665
Er4 0.781 0.000 0.336
```

VASP calculation (PBE-GGA) on crystalline Pm2PrEr2 at its relaxed geometry.

Values from the calculation:
For the calculated total energy, the calculation gives -4.6312 eV/atom. The formation energy from the elements is 0.05 eV per atom. The spin magnetization comes out at 0.0 μB/f.u. As for the space group: Immm.

CIF file:
```
data_Pm2PrEr2
_symmetry_space_group_name_H-M 'P 1'
_symmetry_Int_Tables_number 1
_cell_length_a 8.904
_cell_length_b 8.904
_cell_length_c 8.904
_cell_angle_alpha 157.01
_cell_angle_beta 142.66
_cell_angle_gamma 44.31
loop_
_symmetry_equiv_pos_as_xyz
'x,y,z'
loop_
_atom_site_label
_atom_site_fract_x
_atom_site_fract_y
_atom_site_fract_z
Pm1 0.214 0.214 0.000
Pm2 0.786 0.786 0.000
Pr1 0.000 0.500 0.500
Er1 0.401 0.901 0.500
Er2 0.599 0.099 0.500
```

VASP calculation (PBE-GGA) on crystalline Pm4PrEr at its relaxed geometry.

Values from the calculation:
For the calculated total energy, the calculation gives -4.7065 eV/atom. The formation energy from the elements is 0.02 eV per atom. The spin magnetization comes out at 0.0 μB/f.u. As for the space group: Pmmm. Its energy above the lowest structure with this stoichiometry is 0.000 eV/f.u.

CIF file:
```
data_Pm4PrEr
_symmetry_space_group_name_H-M 'P 1'
_symmetry_Int_Tables_number 1
_cell_length_a 3.645
_cell_length_b 5.123
_cell_length_c 10.944
_cell_angle_alpha 90.00
_cell_angle_beta 90.00
_cell_angle_gamma 90.00
loop_
_symmetry_equiv_pos_as_xyz
'x,y,z'
loop_
_atom_site_label
_atom_site_fract_x
_atom_site_fract_y
_atom_site_fract_z
Pm1 0.000 0.000 0.164
Pm2 0.000 0.000 0.836
Pm3 0.500 0.500 0.329
Pm4 0.500 0.500 0.671
Pr1 0.000 0.000 0.500
Er1 0.500 0.500 0.000
```

VASP calculation (PBE-GGA) on crystalline Pm6PrEr8 at its relaxed geometry.

Values from the calculation:
For the calculated total energy, the calculation gives -4.5237 eV/atom. The formation energy from the elements is 0.13 eV per atom. The spin magnetization comes out at 0.0 μB/f.u. As for the space group: R-3.

CIF file:
```
data_Pm6PrEr8
_symmetry_space_group_name_H-M 'P 1'
_symmetry_Int_Tables_number 1
_cell_length_a 8.689
_cell_length_b 8.689
_cell_length_c 8.689
_cell_angle_alpha 62.91
_cell_angle_beta 62.91
_cell_angle_gamma 62.91
loop_
_symmetry_equiv_pos_as_xyz
'x,y,z'
loop_
_atom_site_label
_atom_site_fract_x
_atom_site_fract_y
_atom_site_fract_z
Pm1 0.037 0.605 0.727
Pm2 0.273 0.963 0.395
Pm3 0.395 0.273 0.963
Pm4 0.605 0.727 0.037
Pm5 0.727 0.037 0.605
Pm6 0.963 0.395 0.273
Pr1 0.500 0.500 0.500
Er1 0.076 0.076 0.076
Er2 0.217 0.612 0.247
Er3 0.247 0.217 0.612
Er4 0.388 0.753 0.783
Er5 0.612 0.247 0.217
Er6 0.753 0.783 0.388
Er7 0.783 0.388 0.753
Er8 0.924 0.924 0.924
```

VASP calculation (PBE-GGA) on crystalline Pm3Pr2Er7 at its relaxed geometry.

Values from the calculation:
For the calculated total energy, the calculation gives -4.5576 eV/atom. The formation energy from the elements is 0.09 eV per atom. The spin magnetization comes out at 0.0 μB/f.u. As for the space group: P2/m.

CIF file:
```
data_Pm3Pr2Er7
_symmetry_space_group_name_H-M 'P 1'
_symmetry_Int_Tables_number 1
_cell_length_a 5.817
_cell_length_b 3.584
_cell_length_c 18.878
_cell_angle_alpha 90.00
_cell_angle_beta 93.24
_cell_angle_gamma 90.00
loop_
_symmetry_equiv_pos_as_xyz
'x,y,z'
loop_
_atom_site_label
_atom_site_fract_x
_atom_site_fract_y
_atom_site_fract_z
Pm1 0.000 0.000 0.000
Pm2 0.276 0.500 0.630
Pm3 0.724 0.500 0.370
Pr1 0.210 0.000 0.292
Pr2 0.790 0.000 0.708
Er1 0.189 0.500 0.141
Er2 0.242 0.000 0.462
Er3 0.309 0.000 0.829
Er4 0.500 0.500 0.000
Er5 0.691 0.000 0.171
Er6 0.758 0.000 0.538
Er7 0.811 0.500 0.859
```

VASP calculation (PBE-GGA) on crystalline Pm4PrEr3 at its relaxed geometry.

Values from the calculation:
For the calculated total energy, the calculation gives -4.6573 eV/atom. The formation energy from the elements is 0.03 eV per atom. The spin magnetization comes out at 0.0 μB/f.u. As for the space group: Pmn2_1. Its energy above the lowest structure with this stoichiometry is 0.000 eV/f.u.

CIF file:
```
data_Pm4PrEr3
_symmetry_space_group_name_H-M 'P 1'
_symmetry_Int_Tables_number 1
_cell_length_a 11.564
_cell_length_b 7.330
_cell_length_c 6.322
_cell_angle_alpha 90.00
_cell_angle_beta 90.00
_cell_angle_gamma 90.00
loop_
_symmetry_equiv_pos_as_xyz
'x,y,z'
loop_
_atom_site_label
_atom_site_fract_x
_atom_site_fract_y
_atom_site_fract_z
Pm1 0.000 0.128 0.000
Pm2 0.000 0.871 0.491
Pm3 0.246 0.874 0.830
Pm4 0.254 0.126 0.330
Pm5 0.500 0.129 0.991
Pm6 0.500 0.872 0.500
Pm7 0.746 0.126 0.330
Pm8 0.754 0.874 0.830
Pr1 0.000 0.374 0.495
Pr2 0.500 0.626 0.995
Er1 0.000 0.622 0.995
Er2 0.250 0.378 0.829
Er3 0.250 0.622 0.329
Er4 0.500 0.378 0.495
Er5 0.750 0.378 0.829
Er6 0.750 0.622 0.329
```

VASP calculation (PBE-GGA) on crystalline Pm4Pr4Er3 at its relaxed geometry.

Values from the calculation:
For the calculated total energy, the calculation gives -4.6531 eV/atom. The formation energy from the elements is 0.06 eV per atom. The spin magnetization comes out at 0.0 μB/f.u. As for the space group: P-1. Its energy above the lowest structure with this stoichiometry is 0.000 eV/f.u.

CIF file:
```
data_Pm4Pr4Er3
_symmetry_space_group_name_H-M 'P 1'
_symmetry_Int_Tables_number 1
_cell_length_a 3.578
_cell_length_b 5.739
_cell_length_c 18.462
_cell_angle_alpha 81.14
_cell_angle_beta 84.44
_cell_angle_gamma 90.00
loop_
_symmetry_equiv_pos_as_xyz
'x,y,z'
loop_
_atom_site_label
_atom_site_fract_x
_atom_site_fract_y
_atom_site_fract_z
Pm1 0.090 0.092 0.319
Pm2 0.233 0.733 0.035
Pm3 0.767 0.267 0.965
Pm4 0.910 0.908 0.681
Pr1 0.046 0.548 0.408
Pr2 0.179 0.180 0.141
Pr3 0.821 0.820 0.859
Pr4 0.954 0.452 0.592
Er1 0.365 0.363 0.772
Er2 0.500 0.000 0.500
Er3 0.635 0.637 0.228
```

VASP calculation (PBE-GGA) on crystalline Pm8Pr2Er3 at its relaxed geometry.

Values from the calculation:
For the calculated total energy, the calculation gives -4.5050 eV/atom. The formation energy from the elements is 0.21 eV per atom. The spin magnetization comes out at 0.0 μB/f.u. As for the space group: C2/m. Its energy above the lowest structure with this stoichiometry is 2.428 eV/f.u.

CIF file:
```
data_Pm8Pr2Er3
_symmetry_space_group_name_H-M 'P 1'
_symmetry_Int_Tables_number 1
_cell_length_a 11.098
_cell_length_b 11.098
_cell_length_c 5.666
_cell_angle_alpha 90.02
_cell_angle_beta 90.02
_cell_angle_gamma 40.62
loop_
_symmetry_equiv_pos_as_xyz
'x,y,z'
loop_
_atom_site_label
_atom_site_fract_x
_atom_site_fract_y
_atom_site_fract_z
Pm1 0.102 0.691 0.000
Pm2 0.167 0.167 0.500
Pm3 0.309 0.898 0.000
Pm4 0.372 0.372 0.500
Pm5 0.628 0.628 0.500
Pm6 0.691 0.102 0.000
Pm7 0.833 0.833 0.500
Pm8 0.898 0.309 0.000
Pr1 0.260 0.260 0.001
Pr2 0.740 0.740 0.999
Er1 0.214 0.786 0.500
Er2 0.500 0.500 0.000
Er3 0.786 0.214 0.500
```

VASP calculation (PBE-GGA) on crystalline Pm12Pr7Er at its relaxed geometry.

Values from the calculation:
For the calculated total energy, the calculation gives -4.1565 eV/atom. The formation energy from the elements is 0.59 eV per atom. The spin magnetization comes out at 0.0 μB/f.u. As for the space group: Im-3m. Its energy above the lowest structure with this stoichiometry is 7.574 eV/f.u.

CIF file:
```
data_Pm12Pr7Er
_symmetry_space_group_name_H-M 'P 1'
_symmetry_Int_Tables_number 1
_cell_length_a 10.063
_cell_length_b 10.063
_cell_length_c 10.063
_cell_angle_alpha 109.47
_cell_angle_beta 109.47
_cell_angle_gamma 109.47
loop_
_symmetry_equiv_pos_as_xyz
'x,y,z'
loop_
_atom_site_label
_atom_site_fract_x
_atom_site_fract_y
_atom_site_fract_z
Pm1 0.000 0.246 0.754
Pm2 0.000 0.754 0.246
Pm3 0.246 0.000 0.754
Pm4 0.246 0.246 0.492
Pm5 0.246 0.492 0.246
Pm6 0.246 0.754 0.000
Pm7 0.492 0.246 0.246
Pm8 0.508 0.754 0.754
Pm9 0.754 0.000 0.246
Pm10 0.754 0.246 0.000
Pm11 0.754 0.508 0.754
Pm12 0.754 0.754 0.508
Pr1 0.000 0.000 0.500
Pr2 0.000 0.500 0.000
Pr3 0.000 0.500 0.500
Pr4 0.500 0.000 0.000
Pr5 0.500 0.000 0.500
Pr6 0.500 0.500 0.000
Pr7 0.500 0.500 0.500
Er1 0.000 0.000 0.000
```

VASP calculation (PBE-GGA) on crystalline Pm4Pr3Er4 at its relaxed geometry.

Values from the calculation:
For the calculated total energy, the calculation gives -4.6726 eV/atom. The formation energy from the elements is 0.02 eV per atom. The spin magnetization comes out at 0.0 μB/f.u. As for the space group: P-1. Its energy above the lowest structure with this stoichiometry is 0.000 eV/f.u.

CIF file:
```
data_Pm4Pr3Er4
_symmetry_space_group_name_H-M 'P 1'
_symmetry_Int_Tables_number 1
_cell_length_a 3.625
_cell_length_b 5.097
_cell_length_c 20.116
_cell_angle_alpha 82.72
_cell_angle_beta 84.87
_cell_angle_gamma 89.98
loop_
_symmetry_equiv_pos_as_xyz
'x,y,z'
loop_
_atom_site_label
_atom_site_fract_x
_atom_site_fract_y
_atom_site_fract_z
Pm1 0.046 0.046 0.407
Pm2 0.316 0.317 0.867
Pm3 0.684 0.683 0.133
Pm4 0.954 0.954 0.593
Pr1 0.137 0.137 0.226
Pr2 0.500 0.500 0.500
Pr3 0.863 0.863 0.774
Er1 0.228 0.228 0.044
Er2 0.409 0.409 0.683
Er3 0.591 0.591 0.317
Er4 0.772 0.772 0.956
```